{
  "formula": "MgTiBePt",
  "functional": "PBE",
  "state": "relaxed",
  "lattice_angstrom": [[0.000, 3.083, 3.083], [3.083, 0.000, 3.083], [3.083, 3.083, 0.000]],
  "species": ["Mg", "Ti", "Be", "Pt"],
  "frac_coords": [[0.000, 0.000, 0.000], [0.500, 0.500, 0.500], [0.250, 0.250, 0.250], [0.750, 0.750, 0.750]],
  "e_tot_ev_per_cell": -21.138,
  "sg": "F-43m, No. 216",
  "ef_ev_per_atom": -0.470
}